(1)
Below is an optimized crystal structure of SmSbBr2O2, with properties calculated at the PBE level.

Calculated values
- total magnetic moment (μB per formula unit) = 0.0
- calculated total energy (eV/atom) = -5.62
- ρ (Mg/m³) = 6.23

```
data_SmSbBr2O2
_chemical_formula_sum 'Sm1 Sb1 Br2 O2'
_cell_length_a 3.881
_cell_length_b 3.881
_cell_length_c 8.204
_cell_angle_alpha 90.00
_cell_angle_beta 90.00
_cell_angle_gamma 90.00
_symmetry_space_group_name_H-M 'P 4 m m'
_symmetry_Int_Tables_number 99
loop_
_symmetry_equiv_pos_as_xyz
'x,y,z'
'-y,x,z'
'-x,-y,z'
'y,-x,z'
'-x,y,z'
'y,x,z'
'x,-y,z'
'-y,-x,z'
loop_
_atom_site_label
_atom_site_type_symbol
_atom_site_fract_x
_atom_site_fract_y
_atom_site_fract_z
Sm1 Sm 0.000 0.000 0.000
Sb1 Sb 0.500 0.500 0.707
Br1 Br 0.000 0.000 0.505
Br2 Br 0.500 0.500 0.186
O1 O 0.000 0.500 0.847
```



(2)
Below is an optimized crystal structure of Zr2CdAu, with properties calculated at the PBE level.

Calculated values
- total magnetic moment (μB per formula unit) = 3.0
- calculated total energy (eV/atom) = -5.34
- ρ (Mg/m³) = 9.70

```
data_Zr2CdAu
_chemical_formula_sum 'Zr8 Cd4 Au4'
_cell_length_a 6.957
_cell_length_b 6.957
_cell_length_c 6.957
_cell_angle_alpha 90.00
_cell_angle_beta 90.00
_cell_angle_gamma 90.00
_symmetry_space_group_name_H-M 'F -4 3 m'
_symmetry_Int_Tables_number 216
_symmetry_space_group_name_Hall 'F -4 2 3'
loop_
_atom_site_label
_atom_site_type_symbol
_atom_site_fract_x
_atom_site_fract_y
_atom_site_fract_z
Zr1 Zr 0.000 0.000 0.000
Zr2 Zr 0.250 0.250 0.250
Cd1 Cd 0.250 0.250 0.750
Au1 Au 0.000 0.000 0.500
```